# GGA-PBE Be2AgP, optimized geometry
# Size of the total moment ... 0.0 μB per cell
# Energy of formation from the pure elements ... 213 meV per atom
# Final energy ... -0.2731 Ry/atom
# Volume ... 54.0 Å³/cell
data_Be2AgP
_space_group_name_H-M_alt 'P 1'
_space_group_IT_number 1
_space_group_name_Hall 'P 1'
_cell_length_a 4.058
_cell_length_b 4.058
_cell_length_c 4.399
_cell_angle_alpha 83.38
_cell_angle_beta 83.38
_cell_angle_gamma 48.74
loop_
_atom_site_label
_atom_site_fract_x
_atom_site_fract_y
_atom_site_fract_z
Ag1 0.745 0.745 0.783
Be1 0.978 0.978 0.108
Be2 0.254 0.254 0.225
P1 0.524 0.524 0.385


# GGA-PBE Be2ZnW, optimized geometry
# Size of the total moment ... 0.0 μB per cell
# Energy of formation from the pure elements ... 207 meV per atom
# Final energy ... -0.3832 Ry/atom
# Volume ... 47.3 Å³/cell
data_Be2ZnW
_space_group_name_H-M_alt 'P 1'
_space_group_IT_number 1
_space_group_name_Hall 'P 1'
_cell_length_a 4.937
_cell_length_b 4.937
_cell_length_c 4.937
_cell_angle_alpha 148.71
_cell_angle_beta 130.32
_cell_angle_gamma 59.89
loop_
_atom_site_label
_atom_site_fract_x
_atom_site_fract_y
_atom_site_fract_z
W1 0.492 0.492 0.000
Be1 0.226 0.726 0.500
Be2 0.009 0.009 0.000
Zn1 0.772 0.272 0.500


# GGA-PBE CoSi2Se, optimized geometry
# Size of the total moment ... 0.2 μB per cell
# Final energy ... -0.3764 Ry/atom
# Uncorrected formation energy ... 238 meV/atom
# Volume ... 58.9 Å³/cell
data_CoSi2Se
_space_group_name_H-M_alt 'P 1'
_space_group_IT_number 1
_space_group_name_Hall 'P 1'
_cell_length_a 3.602
_cell_length_b 5.172
_cell_length_c 3.602
_cell_angle_alpha 71.03
_cell_angle_beta 86.20
_cell_angle_gamma 108.98
loop_
_atom_site_label
_atom_site_fract_x
_atom_site_fract_y
_atom_site_fract_z
Se1 0.500 0.500 0.000
Si1 0.500 0.000 0.500
Si2 0.000 0.000 0.000
Co1 0.000 0.500 0.500


# GGA-PBE MgTl, optimized geometry
# Size of the total moment ... 0.0 μB per cell
# Energy of formation from the pure elements ... -18 meV per atom
# Final energy ... -0.1469 Ry/atom
# Volume ... 51.6 Å³/cell
data_MgTl
_space_group_name_H-M_alt 'P 1'
_space_group_IT_number 1
_space_group_name_Hall 'P 1'
_cell_length_a 3.455
_cell_length_b 3.455
_cell_length_c 4.989
_cell_angle_alpha 90.00
_cell_angle_beta 90.00
_cell_angle_gamma 120.00
loop_
_atom_site_label
_atom_site_fract_x
_atom_site_fract_y
_atom_site_fract_z
Tl1 0.000 0.000 0.500
Mg1 0.667 0.333 0.000


# GGA-PBE Tm2HfSc, optimized geometry
# Size of the total moment ... 0.0 μB per cell
# Energy of formation from the pure elements ... 100 meV per atom
# Energy above the most stable polymorph in this dataset ... 0.017 eV/atom
# Final energy ... -0.4562 Ry/atom
# Volume ... 105.3 Å³/cell
data_Tm2HfSc
_space_group_name_H-M_alt 'P 1'
_space_group_IT_number 1
_space_group_name_Hall 'P 1'
_cell_length_a 3.327
_cell_length_b 3.327
_cell_length_c 9.513
_cell_angle_alpha 90.00
_cell_angle_beta 90.00
_cell_angle_gamma 90.00
loop_
_atom_site_label
_atom_site_fract_x
_atom_site_fract_y
_atom_site_fract_z
Tm1 0.000 0.000 0.740
Tm2 0.000 0.000 0.260
Sc1 0.500 0.500 0.000
Hf1 0.500 0.500 0.500


# GGA-PBE RuPtSe2, optimized geometry
# Size of the total moment ... 0.0 μB per cell
# Energy above the most stable polymorph in this dataset ... 0.156 eV/atom
# Final energy ... -0.4038 Ry/atom
# Uncorrected formation energy ... 77 meV/atom
# Volume ... 74.3 Å³/cell
data_RuPtSe2
_space_group_name_H-M_alt 'P 1'
_space_group_IT_number 1
_space_group_name_Hall 'P 1'
_cell_length_a 6.096
_cell_length_b 6.096
_cell_length_c 3.614
_cell_angle_alpha 90.00
_cell_angle_beta 90.00
_cell_angle_gamma 33.56
loop_
_atom_site_label
_atom_site_fract_x
_atom_site_fract_y
_atom_site_fract_z
Se1 0.965 0.965 0.125
Se2 0.717 0.717 0.624
Ru1 0.316 0.316 0.125
Pt1 0.501 0.501 0.625


# GGA-PBE Tb4NiSn, optimized geometry
# Size of the total moment ... 0.0 μB per cell
# Energy of formation from the pure elements ... -257 meV per atom
# Final energy ... -0.3657 Ry/atom
# Volume ... 356.3 Å³/cell
data_Tb4NiSn
_space_group_name_H-M_alt 'P 1'
_space_group_IT_number 1
_space_group_name_Hall 'P 1'
_cell_length_a 6.855
_cell_length_b 7.162
_cell_length_c 7.274
_cell_angle_alpha 90.00
_cell_angle_beta 94.07
_cell_angle_gamma 90.00
loop_
_atom_site_label
_atom_site_fract_x
_atom_site_fract_y
_atom_site_fract_z
Tb1 0.186 0.830 0.644
Tb2 0.814 0.170 0.356
Tb3 0.314 0.330 0.356
Tb4 0.110 0.356 0.813
Tb5 0.610 0.144 0.813
Tb6 0.390 0.856 0.187
Tb7 0.686 0.670 0.644
Tb8 0.890 0.644 0.187
Sn1 0.500 0.500 0.000
Sn2 0.000 0.000 0.000
Ni1 0.000 0.500 0.500
Ni2 0.500 0.000 0.500


# GGA-PBE LaIn2Fe, optimized geometry
# Size of the total moment ... 0.0 μB per cell
# Energy of formation from the pure elements ... 191 meV per atom
# Final energy ... -0.3326 Ry/atom
# Volume ... 90.4 Å³/cell
data_LaIn2Fe
_space_group_name_H-M_alt 'P 1'
_space_group_IT_number 1
_space_group_name_Hall 'P 1'
_cell_length_a 5.038
_cell_length_b 5.038
_cell_length_c 5.038
_cell_angle_alpha 60.00
_cell_angle_beta 60.00
_cell_angle_gamma 60.00
loop_
_atom_site_label
_atom_site_fract_x
_atom_site_fract_y
_atom_site_fract_z
Fe1 0.000 0.000 0.000
La1 0.500 0.500 0.500
In1 0.750 0.750 0.750
In2 0.250 0.250 0.250


# GGA-PBE Ac2TbBr2N2, optimized geometry
# Size of the total moment ... 0.0 μB per cell
# Final energy ... -0.4474 Ry/atom
# Uncorrected formation energy ... -1395 meV/atom
# Volume ... 173.9 Å³/cell
data_Ac2TbBr2N2
_space_group_name_H-M_alt 'P 1'
_space_group_IT_number 1
_space_group_name_Hall 'P 1'
_cell_length_a 4.589
_cell_length_b 4.589
_cell_length_c 8.874
_cell_angle_alpha 104.98
_cell_angle_beta 104.98
_cell_angle_gamma 90.00
loop_
_atom_site_label
_atom_site_fract_x
_atom_site_fract_y
_atom_site_fract_z
Ac1 0.402 0.402 0.803
Ac2 0.598 0.598 0.197
N1 0.000 0.500 0.000
N2 0.500 0.000 0.000
Br1 0.187 0.187 0.374
Br2 0.813 0.813 0.626
Tb1 0.000 0.000 0.000


# GGA-PBE Ce2InRuAu, optimized geometry
# Size of the total moment ... 1.5 μB per cell
# Energy of formation from the pure elements ... -405 meV per atom
# Final energy ... -0.4290 Ry/atom
# Volume ... 250.5 Å³/cell
data_Ce2InRuAu
_space_group_name_H-M_alt 'P 1'
_space_group_IT_number 1
_space_group_name_Hall 'P 1'
_cell_length_a 4.504
_cell_length_b 7.607
_cell_length_c 9.017
_cell_angle_alpha 125.82
_cell_angle_beta 90.00
_cell_angle_gamma 90.00
loop_
_atom_site_label
_atom_site_fract_x
_atom_site_fract_y
_atom_site_fract_z
Ce1 0.250 0.253 0.922
Ce2 0.750 0.747 0.078
Ce3 0.250 0.242 0.347
Ce4 0.750 0.758 0.653
In1 0.750 0.189 0.619
In2 0.250 0.811 0.381
Au1 0.250 0.508 0.757
Au2 0.750 0.492 0.243
Ru1 0.750 0.066 0.103
Ru2 0.250 0.934 0.897


# GGA-PBE TaBe2Sb, optimized geometry
# Size of the total moment ... 0.0 μB per cell
# Final energy ... -0.3985 Ry/atom
# Uncorrected formation energy ... 436 meV/atom
# Volume ... 61.2 Å³/cell
data_TaBe2Sb
_space_group_name_H-M_alt 'P 1'
_space_group_IT_number 1
_space_group_name_Hall 'P 1'
_cell_length_a 3.136
_cell_length_b 3.136
_cell_length_c 6.331
_cell_angle_alpha 90.00
_cell_angle_beta 90.00
_cell_angle_gamma 100.62
loop_
_atom_site_label
_atom_site_fract_x
_atom_site_fract_y
_atom_site_fract_z
Be1 0.500 0.500 0.188
Be2 0.000 0.000 0.043
Sb1 0.000 0.000 0.465
Ta1 0.500 0.500 0.803


# GGA-PBE RbHfAgI6, optimized geometry
# Size of the total moment ... 0.0 μB per cell
# Final energy ... -0.2518 Ry/atom
# Uncorrected formation energy ... -862 meV/atom
# Volume ... 842.2 Å³/cell
data_RbHfAgI6
_space_group_name_H-M_alt 'P 1'
_space_group_IT_number 1
_space_group_name_Hall 'P 1'
_cell_length_a 7.793
_cell_length_b 7.793
_cell_length_c 16.014
_cell_angle_alpha 90.00
_cell_angle_beta 90.00
_cell_angle_gamma 120.00
loop_
_atom_site_label
_atom_site_fract_x
_atom_site_fract_y
_atom_site_fract_z
I1 0.021 0.384 0.646
I2 0.363 0.979 0.646
I3 0.616 0.637 0.646
I4 0.637 0.616 0.146
I5 0.363 0.384 0.854
I6 0.979 0.363 0.146
I7 0.384 0.363 0.354
I8 0.616 0.979 0.854
I9 0.021 0.637 0.854
I10 0.384 0.021 0.146
I11 0.637 0.021 0.354
I12 0.979 0.616 0.354
Hf1 0.333 0.667 0.750
Hf2 0.667 0.333 0.250
Ag1 0.333 0.667 0.250
Ag2 0.667 0.333 0.750
Rb1 0.000 0.000 0.000
Rb2 0.000 0.000 0.500


The highest volume belongs to which entry? RbHfAgI6


Which of these has the lowest final energy? Tm2HfSc